(1)
{"formula": "EuMnO2", "functional": "PBE with a Hubbard U", "state": "optimized geometry", "crystal_system": "tetragonal", "e_tot_ev_per_fu": -34.1, "vol_a3_per_cell": 52, "lattice": [[2.946, 0.000, 0.000], [0.000, 2.946, 0.000], [0.000, 0.000, 5.943]], "species": ["Mn", "O", "O", "Eu"], "frac_coords": [[0.500, 0.500, 0.000], [0.000, 0.000, 0.235], [0.000, 0.000, 0.765], [0.500, 0.500, 0.500]]}

(2)
{"formula": "Eu2Mn2O5", "functional": "PBE with a Hubbard U", "state": "optimized geometry", "crystal_system": "orthorhombic", "e_tot_ev_per_fu": -80.7, "vol_a3_per_cell": 248, "lattice": [[8.835, -0.059, 0.012], [5.319, 7.055, -0.012], [-7.019, -3.616, 3.966]], "species": ["O", "O", "O", "O", "O", "O", "O", "O", "O", "O", "Mn", "Mn", "Mn", "Mn", "Eu", "Eu", "Eu", "Eu"], "frac_coords": [[0.201, 0.091, 0.026], [0.153, 0.662, 0.315], [0.565, 0.591, 0.891], [0.230, 0.228, 0.486], [0.435, 0.325, 0.026], [0.847, 0.162, 0.508], [0.241, 0.728, 0.997], [0.799, 0.825, 0.891], [0.770, 0.256, 0.997], [0.759, 0.756, 0.486], [0.193, 0.282, 0.975], [0.807, 0.782, 0.089], [0.000, 0.989, 0.989], [0.500, 0.489, 0.989], [0.868, 0.391, 0.480], [0.132, 0.612, 0.523], [0.411, 0.891, 0.523], [0.589, 0.112, 0.480]]}

(3)
{"formula": "Eu2Mn2O5", "functional": "PBE with a Hubbard U", "state": "optimized geometry", "crystal_system": "tetragonal", "e_tot_ev_per_fu": -80.1, "vol_a3_per_cell": 120, "lattice": [[-1.421, 2.255, 2.926], [-3.510, -1.800, -0.317], [2.235, -5.262, 5.141]], "species": ["O", "O", "O", "O", "O", "Eu", "Eu", "Mn", "Mn"], "frac_coords": [[0.500, 0.000, 0.796], [0.000, 0.500, 0.204], [0.500, 0.000, 0.204], [0.000, 0.500, 0.796], [0.500, 0.500, 0.500], [0.000, 0.000, 0.500], [0.000, 0.000, 0.000], [0.500, 0.500, 0.762], [0.500, 0.500, 0.238]]}

(4)
{"formula": "EuMnO2", "functional": "PBE with a Hubbard U", "state": "optimized geometry", "crystal_system": "trigonal", "e_tot_ev_per_fu": -32.7, "vol_a3_per_cell": 49, "lattice": [[3.347, 0.000, 0.000], [1.673, 2.898, 0.000], [1.673, 0.966, 5.068]], "species": ["Mn", "Eu", "O", "O"], "frac_coords": [[0.500, 0.500, 0.500], [0.000, 0.000, 0.000], [0.235, 0.235, 0.295], [0.765, 0.765, 0.705]]}

(5)
{"formula": "PrEuZrMnO6", "functional": "PBE with a Hubbard U", "state": "optimized geometry", "crystal_system": "cubic", "e_tot_ev_per_fu": -87.7, "vol_a3_per_cell": 135, "lattice": [[4.528, -2.767, 2.231], [0.947, 0.138, 5.676], [-0.798, -4.739, 3.167]], "species": ["O", "O", "O", "O", "O", "O", "Zr", "Pr", "Eu", "Mn"], "frac_coords": [[0.754, 0.246, 0.246], [0.246, 0.754, 0.246], [0.754, 0.754, 0.246], [0.246, 0.246, 0.754], [0.246, 0.754, 0.754], [0.754, 0.246, 0.754], [0.500, 0.500, 0.500], [0.750, 0.750, 0.750], [0.250, 0.250, 0.250], [0.000, 0.000, 0.000]]}

(6)
{"formula": "Eu2MnSbO7", "functional": "PBE with a Hubbard U", "state": "optimized geometry", "crystal_system": "orthorhombic", "e_tot_ev_per_fu": -89.4, "vol_a3_per_cell": 281, "lattice": [[7.346, -0.009, 0.004], [-0.043, 7.346, -0.004], [-3.636, -3.684, 5.213]], "species": ["O", "O", "O", "O", "O", "O", "O", "O", "O", "O", "O", "O", "O", "O", "Eu", "Eu", "Eu", "Eu", "Mn", "Mn", "Sb", "Sb"], "frac_coords": [[0.574, 0.924, 0.246], [0.125, 0.375, 0.750], [0.426, 0.672, 0.350], [0.574, 0.328, 0.650], [0.426, 0.076, 0.754], [0.875, 0.625, 0.250], [0.822, 0.672, 0.746], [0.830, 0.080, 0.750], [0.822, 0.076, 0.150], [0.178, 0.328, 0.254], [0.170, 0.920, 0.250], [0.428, 0.678, 0.750], [0.178, 0.924, 0.850], [0.572, 0.322, 0.250], [0.500, 0.500, 0.000], [0.000, 0.500, 0.500], [0.000, 0.500, 0.000], [0.000, 0.000, 0.500], [0.500, 0.000, 0.000], [0.500, 0.500, 0.500], [0.500, 0.000, 0.500], [0.000, 0.000, 0.000]]}

(7)
{"formula": "SmEuMn4O12", "functional": "PBE with a Hubbard U", "state": "optimized geometry", "crystal_system": "tetragonal", "e_tot_ev_per_fu": -131.5, "vol_a3_per_cell": 215, "lattice": [[-1.158, -5.152, 0.753], [4.762, -1.360, -1.982], [2.979, 0.341, 6.923]], "species": ["Mn", "Mn", "Mn", "Mn", "O", "O", "O", "O", "O", "O", "O", "O", "O", "O", "O", "O", "Sm", "Eu"], "frac_coords": [[0.000, 0.500, 0.751], [0.000, 0.500, 0.249], [0.500, 0.000, 0.751], [0.500, 0.000, 0.249], [0.500, 0.000, 0.000], [0.247, 0.753, 0.745], [0.753, 0.753, 0.745], [0.247, 0.753, 0.255], [0.753, 0.247, 0.745], [0.000, 0.500, 0.500], [0.753, 0.247, 0.255], [0.247, 0.247, 0.255], [0.000, 0.500, 0.000], [0.247, 0.247, 0.745], [0.500, 0.000, 0.500], [0.753, 0.753, 0.255], [0.000, 0.000, 0.500], [0.500, 0.500, 0.000]]}

(8)
{"formula": "EuMnSnWO6", "functional": "PBE with a Hubbard U", "state": "optimized geometry", "crystal_system": "cubic", "e_tot_ev_per_fu": -78.2, "vol_a3_per_cell": 135, "lattice": [[0.000, 4.074, 4.074], [4.074, 0.000, 4.074], [4.074, 4.074, 0.000]], "species": ["Sn", "Mn", "O", "O", "O", "O", "O", "O", "W", "Eu"], "frac_coords": [[0.750, 0.750, 0.750], [0.000, 0.000, 0.000], [0.261, 0.739, 0.261], [0.261, 0.261, 0.739], [0.261, 0.739, 0.739], [0.739, 0.739, 0.261], [0.739, 0.261, 0.261], [0.739, 0.261, 0.739], [0.500, 0.500, 0.500], [0.250, 0.250, 0.250]]}